[1]
Below is Ba3Au after structural relaxation, with properties calculated at the GGA-PBE level.

a b c (Å): 10.6903 10.6903 4.5117
angles (deg): 90.00 90.00 120.00
Last column: nearest neighbours and their distance in Å.
Atoms (fractional coordinates):
Ba: 0.2034 0.4069 0.2500  2 Au 3.30
Ba: 0.2034 0.7966 0.2500  2 Au 3.30
Ba: 0.4069 0.2034 0.7500  2 Au 3.30
Ba: 0.5931 0.7966 0.2500  2 Au 3.30
Ba: 0.7966 0.2034 0.7500  2 Au 3.30
Ba: 0.7966 0.5931 0.7500  2 Au 3.30
Au: 0.3333 0.6667 0.7500  6 Ba 3.30
Au: 0.6667 0.3333 0.2500  6 Ba 3.30

Results
* crystal system: hexagonal
* total magnetic moment: 0.0 μB per formula unit
* E: -2.461 eV per atom

=====

[2]
Below is YHoZr2 after structural relaxation, with properties calculated at the GGA-PBE level.

a b c (Å): 11.0294 11.0294 11.0294
angles (deg): 17.57 17.57 17.57
Last column: nearest neighbours and their distance in Å.
Atoms (fractional coordinates):
Y: 0.0000 0.0000 0.0000  6 Zr 3.35, 6 Y 3.37
Ho: 0.1668 0.1668 0.1668  6 Zr 3.32-3.34, 6 Ho 3.37
Zr: 0.5829 0.5829 0.5829  3 Ho 3.32, 3 Y 3.35, 6 Zr 3.37
Zr: 0.7502 0.7502 0.7502  3 Ho 3.34, 3 Y 3.35, 6 Zr 3.37

Results
* crystal system: trigonal
* total magnetic moment: 0.0 μB per formula unit
* distance to the lowest polymorph of the same formula: 0 meV/atom
* E: -6.921 eV per atom

=====

[3]
Below is ScAl2Ru after structural relaxation, with properties calculated at the GGA-PBE level.

a b c (Å): 10.0099 10.0099 10.0099
angles (deg): 157.90 157.90 31.45
Last column: nearest neighbours and their distance in Å.
Atoms (fractional coordinates):
Sc: 0.0000 0.0000 0.0000  4 Ru 2.71, 4 Al 2.79
Sc: 0.7500 0.2500 0.5000  4 Ru 2.71, 4 Al 2.79
Al: 0.1404 0.6250 0.0154  4 Al 2.63-2.80, 2 Ru 2.74, 2 Sc 2.79
Al: 0.3750 0.3904 0.5154  4 Al 2.63-2.80, 2 Ru 2.74, 2 Sc 2.79
Al: 0.6096 0.1250 0.9846  4 Al 2.63-2.80, 2 Ru 2.74, 2 Sc 2.79
Al: 0.8750 0.8596 0.4846  4 Al 2.63-2.80, 2 Ru 2.74, 2 Sc 2.79
Ru: 0.2500 0.7500 0.5000  4 Sc 2.71, 4 Al 2.74
Ru: 0.5000 0.5000 0.0000  4 Sc 2.71, 4 Al 2.74

Results
* crystal system: tetragonal
* total magnetic moment: 0.0 μB per formula unit
* E: -5.854 eV per atom

=====

[4]
Below is CeTm3Th2P6 after structural relaxation, with properties calculated at the GGA-PBE level.

a b c (Å): 9.0239 9.0239 8.0526
angles (deg): 102.53 102.53 25.94
Last column: nearest neighbours and their distance in Å.
Atoms (fractional coordinates):
Ce: 0.0000 0.0000 0.0000  6 P 2.89
Tm: 0.0000 0.0000 0.5000  6 P 2.82-2.83
Tm: 0.3336 0.3336 0.1664  6 P 2.81-2.83
Tm: 0.6664 0.6664 0.8336  6 P 2.81-2.83
Th: 0.3340 0.3340 0.6675  6 P 2.89-2.91
Th: 0.6660 0.6660 0.3325  6 P 2.89-2.91
P: 0.1642 0.1642 0.5900  3 Tm 2.81-2.82, 3 Th 2.90-2.91
P: 0.1686 0.1686 0.0768  3 Tm 2.81-2.83, 1 Ce 2.89, 2 Th 2.90
P: 0.4976 0.4976 0.2541  3 Tm 2.81-2.83, 2 Ce 2.89, 1 Th 2.89
P: 0.5024 0.5024 0.7459  3 Tm 2.81-2.83, 2 Ce 2.89, 1 Th 2.89
P: 0.8314 0.8314 0.9232  3 Tm 2.81-2.83, 1 Ce 2.89, 2 Th 2.90
P: 0.8358 0.8358 0.4100  3 Tm 2.81-2.82, 3 Th 2.90-2.91

Results
* crystal system: monoclinic
* total magnetic moment: 0.6 μB per formula unit
* E: -7.124 eV per atom

=====

[5]
Below is Nd2Sm4Dy after structural relaxation, with properties calculated at the GGA-PBE level.

a b c (Å): 8.7426 8.7426 8.9390
angles (deg): 118.83 118.83 23.61
Last column: nearest neighbours and their distance in Å.
Atoms (fractional coordinates):
Nd: 0.0700 0.0700 0.4290  3 Nd 3.22-3.58, 1 Dy 3.41, 3 Sm 3.41-3.58
Nd: 0.9300 0.9300 0.5710  3 Nd 3.22-3.58, 1 Dy 3.41, 3 Sm 3.41-3.58
Sm: 0.2955 0.2955 0.7090  3 Nd 3.41-3.58, 5 Sm 3.58-3.72, 2 Dy 3.64
Sm: 0.3572 0.3572 0.1537  7 Sm 3.58-3.83, 4 Nd 3.70-3.75, 2 Dy 3.79
Sm: 0.6428 0.6428 0.8463  7 Sm 3.58-3.83, 4 Nd 3.70-3.75, 2 Dy 3.79
Sm: 0.7045 0.7045 0.2910  3 Nd 3.41-3.58, 5 Sm 3.58-3.72, 2 Dy 3.64
Dy: 0.0000 0.0000 0.0000  2 Nd 3.41, 2 Dy 3.58, 8 Sm 3.64-3.79

Results
* crystal system: monoclinic
* total magnetic moment: 0.0 μB per formula unit
* distance to the lowest polymorph of the same formula: 39 meV/atom
* E: -4.665 eV per atom

=====

[6]
Below is Rb2MnFeC6N6 after structural relaxation, with properties calculated at the GGA-PBE level.

a b c (Å): 7.0954 7.0954 7.0954
angles (deg): 60.00 60.00 60.00
Last column: nearest neighbours and their distance in Å.
Atoms (fractional coordinates):
Rb: 0.2500 0.2500 0.2500  12 N 3.59, 12 C 3.60
Rb: 0.7500 0.7500 0.7500  12 N 3.59, 12 C 3.60
Mn: 0.0000 0.0000 0.0000  6 N 1.95
Fe: 0.5000 0.5000 0.5000  6 C 1.89
C: 0.3119 0.3119 0.6881  1 N 1.18
C: 0.3119 0.6881 0.3119  1 N 1.18
C: 0.3119 0.6881 0.6881  1 N 1.18
C: 0.6881 0.3119 0.3119  1 N 1.18
C: 0.6881 0.3119 0.6881  1 N 1.18
C: 0.6881 0.6881 0.3119  1 N 1.18
N: 0.1940 0.1940 0.8060  1 C 1.18
N: 0.1940 0.8060 0.1940  1 C 1.18
N: 0.1940 0.8060 0.8060  1 C 1.18
N: 0.8060 0.1940 0.1940  1 C 1.18
N: 0.8060 0.1940 0.8060  1 C 1.18
N: 0.8060 0.8060 0.1940  1 C 1.18

Results
* crystal system: cubic
* total magnetic moment: 1.0 μB per formula unit
* E_form (uncorrected): -0.122 eV/atom
* E: -7.926 eV per atom

=====

[7]
Below is AcNd4Sm5 after structural relaxation, with properties calculated at the GGA-PBE level.

a b c (Å): 3.7080 3.7080 25.8235
angles (deg): 90.00 90.00 90.00
Last column: nearest neighbours and their distance in Å.
Atoms (fractional coordinates):
Ac: 0.0000 0.0000 0.0000  4 Ac 3.71, 8 Sm 3.80
Nd: 0.0000 0.0000 0.2044  8 Sm 3.64-3.66, 4 Nd 3.71
Nd: 0.0000 0.0000 0.4015  8 Sm 3.65, 4 Nd 3.71
Nd: 0.0000 0.0000 0.5985  8 Sm 3.65, 4 Nd 3.71
Nd: 0.0000 0.0000 0.7956  8 Sm 3.64-3.66, 4 Nd 3.71
Sm: 0.5000 0.5000 0.1064  4 Nd 3.64, 4 Sm 3.71, 4 Ac 3.80
Sm: 0.5000 0.5000 0.3032  8 Nd 3.65-3.66, 4 Sm 3.71
Sm: 0.5000 0.5000 0.5000  8 Nd 3.65, 4 Sm 3.71
Sm: 0.5000 0.5000 0.6968  8 Nd 3.65-3.66, 4 Sm 3.71
Sm: 0.5000 0.5000 0.8936  4 Nd 3.64, 4 Sm 3.71, 4 Ac 3.80

Results
* crystal system: tetragonal
* total magnetic moment: 0.0 μB per formula unit
* E: -4.652 eV per atom

=====

[8]
Below is Pm4Sb after structural relaxation, with properties calculated at the GGA-PBE level.

a b c (Å): 5.8967 5.8967 5.8967
angles (deg): 90.00 90.00 90.00
Last column: nearest neighbours and their distance in Å.
Atoms (fractional coordinates):
Pm: 0.0000 0.0000 0.0000  12 Pm 4.17
Pm: 0.0000 0.5000 0.5000  2 Sb 2.95
Pm: 0.5000 0.0000 0.5000  2 Sb 2.95
Pm: 0.5000 0.5000 0.0000  2 Sb 2.95
Sb: 0.5000 0.5000 0.5000  6 Pm 2.95

Results
* crystal system: cubic
* total magnetic moment: 0.0 μB per formula unit
* E_form (uncorrected): 0.036 eV/atom
* E: -4.589 eV per atom

=====

Copy entry 8 word for word.
Below is Pm4Sb after structural relaxation, with properties calculated at the GGA-PBE level.

a b c (Å): 5.8967 5.8967 5.8967
angles (deg): 90.00 90.00 90.00
Last column: nearest neighbours and their distance in Å.
Atoms (fractional coordinates):
Pm: 0.0000 0.0000 0.0000  12 Pm 4.17
Pm: 0.0000 0.5000 0.5000  2 Sb 2.95
Pm: 0.5000 0.0000 0.5000  2 Sb 2.95
Pm: 0.5000 0.5000 0.0000  2 Sb 2.95
Sb: 0.5000 0.5000 0.5000  6 Pm 2.95

Results
* crystal system: cubic
* total magnetic moment: 0.0 μB per formula unit
* E_form (uncorrected): 0.036 eV/atom
* E: -4.589 eV per atom